A relaxed structure of V2Ni5Pd4, computed with GGA-PBE.

Output
Density (g/cm3): 9.2
Spin magnetization (μB per cell): 0.00
DFT formation energy (eV/atom): -0.014
DOS at the Fermi energy (states/eV per cell): 16.9

Cell and atoms, written as CIF:
```
data_V2Ni5Pd4
_cell_length_a 3.967
_cell_length_b 7.200
_cell_length_c 10.332
_cell_angle_alpha 90.00
_cell_angle_beta 90.00
_cell_angle_gamma 90.00
_space_group_name_H-M_alt 'I m m m'
_space_group_IT_number 71
_space_group_name_Hall '-I 2 2'
loop_
_atom_site_label
_atom_site_type_symbol
_atom_site_fract_x
_atom_site_fract_y
_atom_site_fract_z
V1 V 0.000 0.000 0.142
Ni1 Ni 0.000 0.337 0.272
Ni2 Ni 0.000 0.500 0.500
Pd1 Pd 0.000 0.000 0.372
Pd2 Pd 0.000 0.287 0.000
```